# 1
CaLaIn (PBE-GGA, optimized geometry); E above lowest polymorph = 0.82 eV per formula unit; total magnetization = 0.0 μB/cell; energy of formation from the pure elements = -171 meV/atom; space-group type = P4/nmm
1.0
5.2005 0.0000 0.0000
0.0000 5.2005 0.0000
0.0000 0.0000 7.9965
Ca La In
2 2 2
Direct
0.2500 0.2500 0.2141 Ca
0.7500 0.7500 0.7859 Ca
0.2500 0.2500 0.7404 La
0.7500 0.7500 0.2596 La
0.2500 0.7500 0.5000 In
0.7500 0.2500 0.5000 In


# 2
Mg2ScTlH (PBE-GGA, optimized geometry); VASP energy = -16.26 eV for the cell shown; total magnetization = 0.0 μB/cell; space-group type = P4/mmm
1.0
4.4892 0.0000 0.0000
0.0000 4.4892 0.0000
0.0000 0.0000 4.3703
Mg Sc Tl H
2 1 1 1
Direct
0.0000 0.5000 0.0000 Mg
0.5000 0.0000 0.0000 Mg
0.0000 0.0000 0.5000 Sc
0.5000 0.5000 0.5000 Tl
0.0000 0.0000 0.0000 H